This record from OQMD describes OsIN after structural relaxation. The functional is GGA-PBE.

Summary:
The space group is R-3m. The calculation puts the electronic total energy at -37.19 eV for the cell shown. The calculation puts the mass density at 10.399 g/cm3. Its distance to the lowest polymorph of the same formula is 187 meV per atom.

The structure in extended XYZ format:
```
6
Lattice="1.733 1.000 10.167 -1.733 1.000 10.167 0.000 -2.001 10.167" Properties=species:S:1:pos:R:3 pbc="T T T"
Os 0.000 0.000 3.776
Os 0.000 0.000 26.724
I 0.000 0.000 11.787
I 0.000 0.000 18.713
N 0.000 0.000 5.826
N 0.000 0.000 24.675
```


This record from OQMD describes OsIN after structural relaxation. The functional is GGA-PBE.

Summary:
The space group is Pmmn. The calculation puts the electronic total energy at -38.31 eV for the cell shown. The calculation puts the mass density at 8.718 g/cm3. Its distance to the lowest polymorph of the same formula is 0 meV per atom.

The structure in extended XYZ format:
```
6
Lattice="3.544 0.000 0.000 0.000 3.825 0.000 0.000 0.000 9.305" Properties=species:S:1:pos:R:3 pbc="T T T"
Os 0.886 0.956 0.892
Os 2.658 2.868 8.414
I 0.886 2.868 6.336
I 2.658 0.956 2.969
N 0.886 2.868 0.171
N 2.658 0.956 9.135
```